# 1
The following is a PBE calculation of a relaxed YPaOs2 crystal, from the Alexandria database.

DOS at the Fermi energy	3.0	states/eV/cell
total DFT energy (no corrections)	-0.72572	Ry per atom
crystal system	tetragonal
excess energy over the best structure of this formula in the dataset	0.000	eV/f.u.
E_form	-0.269	eV/atom

a = 3.486 Å, b = 3.486 Å, c = 6.779 Å
α = 90.00°, β = 90.00°, γ = 90.00°
Space group P4/mmm (No. 123)
Asymmetric unit:
1 Y 0.000 0.000 0.000 (multiplicity 1)
2 Pa 0.000 0.000 0.500 (multiplicity 1)
3 Os 0.500 0.500 0.275 (multiplicity 2)

# 2
The following is a PBE calculation of a relaxed YPaOs crystal, from the Alexandria database.

DOS at the Fermi energy	5.3	states/eV/cell
total DFT energy (no corrections)	-0.67940	Ry per atom
crystal system	tetragonal
excess energy over the best structure of this formula in the dataset	0.000	eV/f.u.
E_form	-0.180	eV/atom

a = 3.541 Å, b = 3.541 Å, c = 11.013 Å
α = 90.00°, β = 90.00°, γ = 90.00°
Space group I4mm (No. 107)
Asymmetric unit:
1 Y 0.000 0.000 0.000 (multiplicity 2)
2 Pa 0.000 0.000 0.297 (multiplicity 2)
3 Os 0.000 0.000 0.685 (multiplicity 2)